Here is a relaxed Ti2Tc2Mo crystal from the Alexandria database. Energies are from GGA-PBE.

```
10
Lattice="-3.479 4.696 2.520 3.479 -4.696 2.520 3.479 4.696 -2.520" Properties=species:S:1:pos:R:3 pbc="T T T"
Ti 1.049 0.858 0.000
Ti 1.049 -0.858 2.520
Ti 2.429 5.554 0.000
Ti 2.429 3.839 2.520
Tc 5.562 1.659 0.000
Tc 2.083 3.037 0.000
Tc 1.396 1.659 2.520
Tc -2.083 3.037 2.520
Mo 3.479 0.000 1.260
Mo 0.000 4.696 1.260
```

Summary:
Size of the total moment: 0.0 μB per formula unit
Formation enthalpy at 0 K: 0.260 eV/atom
Uncorrected energy: -9.210 eV/atom